[1]
First-principles (PBE-GGA) data for a relaxed structure of Li3TmPb3, as listed in Alexandria via LeMat-Bulk.

```
Li3TmPb3
1.0
7.2519 0.0000 0.0000
0.0000 7.2519 0.0000
0.0000 0.0000 7.2519
Li Tm Pb
6 2 6
Cartesian
0.0000 1.8130 3.6260
0.0000 5.4390 3.6260
1.8130 3.6260 0.0000
3.6260 0.0000 1.8130
3.6260 0.0000 5.4390
5.4390 3.6260 0.0000
0.0000 0.0000 0.0000
3.6260 3.6260 3.6260
0.0000 3.6260 1.8130
0.0000 3.6260 5.4390
1.8130 0.0000 3.6260
3.6260 1.8130 0.0000
3.6260 5.4390 0.0000
5.4390 0.0000 3.6260
```

Results
Spin magnetization ... 0.00 μB per formula unit
Energy of formation from the pure elements ... 197 kJ/mol of formula units



[2]
First-principles (PBE-GGA) data for a relaxed structure of HoPuCuRu, as listed in Alexandria via LeMat-Bulk.

```
HoPuCuRu
1.0
0.0000 3.4219 3.4219
3.4219 0.0000 3.4219
3.4219 3.4219 0.0000
Ho Pu Cu Ru
1 1 1 1
Cartesian
0.0000 0.0000 0.0000
3.4219 3.4219 3.4219
1.7110 1.7110 1.7110
5.1329 5.1329 5.1329
```

Results
Spin magnetization ... 5.41 μB per formula unit
Energy of formation from the pure elements ... -57 kJ/mol of formula units



[3]
First-principles (PBE-GGA) data for a relaxed structure of Nd3Si2Br2, as listed in Alexandria via LeMat-Bulk.

```
Nd3Si2Br2
1.0
4.1854 0.0000 0.0000
2.0636 7.0547 0.0000
0.0081 1.7325 7.7235
Nd Si Br
3 2 2
Cartesian
0.0000 0.0000 0.0000
2.0767 5.0188 5.9376
4.1805 3.7684 1.7859
2.0919 1.9199 0.8105
4.1653 6.8673 6.9130
2.0831 5.7752 2.8632
4.1741 3.0120 4.8603
```

Results
Spin magnetization ... 0.00 μB per formula unit
Raw formation energy ... -6.4 eV/f.u.